Entry from the Alexandria database: a relaxed structure of PrPaTe3 (PBE-GGA).

Lattice parameters (Å, degrees): 4.354 8.272 17.746 90.00 90.00 90.00
Each line ends with the local moment (μB).
Fractional positions:
1 Te 0.250 0.995 0.394  -0.04
2 Te 0.750 0.114 0.065  -0.03
3 Te 0.250 0.495 0.106  -0.04
4 Te 0.250 0.680 0.714  -0.01
5 Te 0.250 0.180 0.786  -0.01
6 Te 0.750 0.005 0.606  -0.04
7 Te 0.750 0.320 0.286  -0.01
8 Te 0.750 0.614 0.435  -0.03
9 Te 0.250 0.886 0.935  -0.03
10 Te 0.250 0.386 0.565  -0.03
11 Te 0.750 0.820 0.214  -0.01
12 Te 0.750 0.505 0.894  -0.04
13 Pr 0.250 0.607 0.301  0.06
14 Pr 0.750 0.893 0.801  0.06
15 Pr 0.250 0.107 0.199  0.06
16 Pr 0.750 0.393 0.699  0.06
17 Pa 0.250 0.774 0.539  1.32
18 Pa 0.750 0.726 0.039  1.32
19 Pa 0.750 0.226 0.461  1.32
20 Pa 0.250 0.274 0.961  1.32

**Total energy**: -5.8504 eV per atom
**Theoretical density**: 7843 kg/m³
**Spin magnetization**: 0.3447 μB/atom
**Space group**: Pnma

Entry from the Alexandria database: a relaxed structure of TcIrBr (PBE-GGA).

Lattice parameters (Å, degrees): 4.292 4.292 4.292 60.00 60.00 60.00
Fractional positions:
1 Ir 0.500 0.500 0.500
2 Br 0.000 0.000 0.000
3 Tc 0.750 0.750 0.750

**Total energy**: -6.1171 eV per atom
**Theoretical density**: 10994 kg/m³
**Spin magnetization**: 0.0000 μB/atom
**Space group**: F-43m

Entry from the Alexandria database: a relaxed structure of AcInGaCu (PBE-GGA).

Lattice parameters (Å, degrees): 5.135 5.135 5.135 60.00 60.00 60.00
Fractional positions:
1 Ga 0.750 0.750 0.750
2 Cu 0.250 0.250 0.250
3 In 0.000 0.000 0.000
4 Ac 0.500 0.500 0.500

**E_form**: -0.250 eV/atom
**Theoretical density**: 8241 kg/m³
**Spin magnetization**: 0.0000 μB/atom
**Space group**: F-43m

Entry from the Alexandria database: a relaxed structure of Te3P (PBE-GGA).

Lattice parameters (Å, degrees): 5.896 5.896 5.896 90.00 90.00 90.00
Fractional positions:
1 Te 0.500 0.000 0.250
2 Te 0.750 0.500 0.000
3 Te 0.250 0.500 0.000
4 Te 0.000 0.250 0.500
5 Te 0.000 0.750 0.500
6 Te 0.500 0.000 0.750
7 P 0.500 0.500 0.500
8 P 0.000 0.000 0.000

**Total energy**: -2.9399 eV per atom
**Theoretical density**: 6705 kg/m³
**Spin magnetization**: 0.0000 μB/atom
**Space group**: Pm-3n

Entry from the Alexandria database: a relaxed structure of Ce5Th2In2 (PBE-GGA).

Lattice parameters (Å, degrees): 8.352 8.291 9.604 115.57 115.78 90.00
Fractional positions:
1 Ce 0.541 0.462 0.322
2 Ce 0.719 0.640 0.678
3 Ce 0.038 0.717 0.500
4 Ce 0.232 0.218 0.825
5 Ce 0.281 0.962 0.322
6 Ce 0.092 0.718 0.825
7 Ce 0.908 0.893 0.175
8 Ce 0.768 0.393 0.175
9 Ce 0.459 0.140 0.678
10 Ce 0.962 0.217 0.500
11 In 0.518 0.041 0.172
12 In 0.846 0.370 0.828
13 In 0.154 0.541 0.172
14 In 0.482 0.870 0.828
15 Th 0.731 0.911 0.500
16 Th 0.269 0.411 0.500
17 Th 0.500 0.584 0.000
18 Th 0.000 0.084 0.000

**E_form**: 0.085 eV/atom
**Theoretical density**: 8810 kg/m³
**Spin magnetization**: 0.0073 μB/atom
**Space group**: Ima2

Q: What is the formula in the first record?
A: PrPaTe3

Q: Which value of spin magnetization does entry 2 give?
A: 0.0000 μB/atom